A plane-wave DFT calculation with PBE-GGA was carried out for HfB after structural relaxation.

Output
DOS(E_F): 1.3 states/eV/f.u.
energy of formation from the pure elements: 0.1854 eV/atom
symmetry: No. 87
mass density: 8705 kg/m3

abc: 7.786 7.786 4.766
angles: 90.00 90.00 90.00
Element x y z (fractional)
1 B 0.621 0.817 0.500
2 Hf 0.610 0.818 0.000
3 B 0.817 0.379 0.500
4 B 0.879 0.683 0.000
5 Hf 0.682 0.110 0.500
6 Hf 0.318 0.890 0.500
7 Hf 0.818 0.390 0.000
8 B 0.121 0.317 0.000
9 B 0.317 0.879 0.000
10 Hf 0.182 0.610 0.000
11 B 0.683 0.121 0.000
12 Hf 0.110 0.318 0.500
13 B 0.379 0.183 0.500
14 B 0.183 0.621 0.500
15 Hf 0.390 0.182 0.000
16 Hf 0.890 0.682 0.500